1) Density functional theory data (PBE) for crystalline LiBeSe2Br at its relaxed geometry.

Lattice parameters (Å, degrees): 4.318 4.318 6.612 90.00 90.00 90.00
Element x y z (fractional)
Se (0.000, 0.500, 0.000)
Br (0.000, 0.000, 0.500)
Se (0.500, 0.000, 0.000)
Li (0.000, 0.000, 0.000)
Be (0.500, 0.500, 0.500)

Properties
crystal system	tetragonal

2) Density functional theory data (PBE) for crystalline LiBeSe2Br at its relaxed geometry.

Lattice parameters (Å, degrees): 4.287 4.287 7.382 90.00 90.00 90.00
Element x y z (fractional)
Se (0.000, 0.500, 0.000)
Be (0.000, 0.000, 0.000)
Li (0.500, 0.500, 0.500)
Br (0.000, 0.000, 0.500)
Se (0.500, 0.000, 0.000)

Properties
crystal system	tetragonal

Relative energies with respect to the most stable structure, expressed in meV/atom: 1) 857; 2) 0.